Computed, not measured: a relaxed Pr2AlGaPd6 crystal at the PBE level of DFT. Values from VASP.

Results
VASP energy = -5.388 eV/atom
energy of formation from the pure elements = -0.640 eV/atom
crystal system = monoclinic
space group = No. 12
size of the total moment = 0.000 μB per formula unit

Structure (Quantum ESPRESSO input):
```
&SYSTEM
  ibrav = 0, nat = 10, ntyp = 4
/
ATOMIC_SPECIES
Pr 140.91 Pr.upf
Al 26.98 Al.upf
Ga 69.72 Ga.upf
Pd 106.42 Pd.upf
CELL_PARAMETERS angstrom
-2.431 0.201 -5.225
-7.113 -2.501 3.208
-4.184 3.816 -1.090
ATOMIC_POSITIONS angstrom
Pr -7.471 0.627 0.315
Pr -6.257 0.888 -3.422
Al -4.772 -1.150 -1.008
Ga 0.000 0.000 0.000
Pd -10.123 1.986 0.007
Pd -11.338 2.086 -2.602
Pd -4.479 1.330 -1.051
Pd -3.605 -0.471 -3.114
Pd -2.390 -0.570 -0.505
Pd -9.249 0.185 -2.056
```


Computed, not measured: a relaxed PrAlGaPd3 crystal at the PBE level of DFT. Values from VASP.

Results
VASP energy = -5.184 eV/atom
energy of formation from the pure elements = -0.663 eV/atom
crystal system = orthorhombic
space group = No. 63
size of the total moment = 0.000 μB per formula unit

Structure (Quantum ESPRESSO input):
```
&SYSTEM
  ibrav = 0, nat = 12, ntyp = 4
/
ATOMIC_SPECIES
Pr 140.91 Pr.upf
Al 26.98 Al.upf
Ga 69.72 Ga.upf
Pd 106.42 Pd.upf
CELL_PARAMETERS angstrom
-4.200 -2.405 -3.018
3.792 0.259 -5.484
0.381 -5.748 4.051
ATOMIC_POSITIONS angstrom
Pr -1.832 -5.056 -1.506
Pr 1.805 -2.838 -2.945
Al 2.948 -5.660 -2.287
Al -2.976 -2.234 -2.163
Ga 0.625 -4.736 0.209
Ga -0.653 -3.158 -4.660
Pd -0.300 -2.452 -0.323
Pd 1.110 0.076 -1.605
Pd 0.582 -1.020 -5.388
Pd -0.991 -1.127 -3.114
Pd 2.682 0.183 -3.879
Pd 0.273 -5.443 -4.127
```


Computed, not measured: a relaxed Pr3AlGa2Pd9 crystal at the PBE level of DFT. Values from VASP.

Results
VASP energy = -5.331 eV/atom
energy of formation from the pure elements = -0.606 eV/atom
crystal system = trigonal
space group = No. 164
size of the total moment = 0.000 μB per formula unit

Structure (Quantum ESPRESSO input):
```
&SYSTEM
  ibrav = 0, nat = 15, ntyp = 4
/
ATOMIC_SPECIES
Pr 140.91 Pr.upf
Al 26.98 Al.upf
Ga 69.72 Ga.upf
Pd 106.42 Pd.upf
CELL_PARAMETERS angstrom
5.808 0.000 0.000
-2.904 5.030 0.000
0.000 0.000 10.979
ATOMIC_POSITIONS angstrom
Pr 0.000 3.353 7.982
Pr 0.000 0.000 0.000
Pr 2.904 1.677 2.997
Al 0.000 0.000 5.490
Ga 0.000 3.353 1.860
Ga 2.904 1.677 9.119
Pd 4.353 0.840 7.266
Pd 2.904 3.350 7.266
Pd 1.455 0.840 7.266
Pd 1.449 4.190 3.713
Pd 0.000 1.680 3.713
Pd -1.449 4.190 3.713
Pd 2.904 0.000 0.000
Pd -1.452 2.515 0.000
Pd 1.452 2.515 0.000
```


Computed, not measured: a relaxed PrAlGa4Pd2 crystal at the PBE level of DFT. Values from VASP.

Results
VASP energy = -4.361 eV/atom
energy of formation from the pure elements = -0.484 eV/atom
crystal system = trigonal
space group = No. 166
size of the total moment = 0.000 μB per formula unit

Structure (Quantum ESPRESSO input):
```
&SYSTEM
  ibrav = 0, nat = 8, ntyp = 4
/
ATOMIC_SPECIES
Pr 140.91 Pr.upf
Al 26.98 Al.upf
Ga 69.72 Ga.upf
Pd 106.42 Pd.upf
CELL_PARAMETERS angstrom
4.423 0.000 0.000
2.211 3.830 0.000
2.211 1.277 8.743
ATOMIC_POSITIONS angstrom
Pr 0.000 0.000 0.000
Al 4.423 2.554 4.372
Ga 4.423 2.554 7.036
Ga 6.634 3.830 3.273
Ga 2.211 1.277 5.470
Ga 4.423 2.554 1.708
Pd 6.634 3.830 6.154
Pd 2.211 1.277 2.590
```


> Look up the energy of formation from the pure elements of the fourth one.

-0.484 eV/atom


> The lowest energy of formation from the pure elements belongs to which entry?

PrAlGaPd3


> The highest energy of formation from the pure elements belongs to which entry?

PrAlGa4Pd2